# 1
# PmGa4Ru2Pt, relaxed, DFT GGA-PBE
data_PmGa4Ru2Pt
_chemical_formula_sum 'Pm3 Ga12 Ru6 Pt3'
_symmetry_space_group_name_H-M 'R -3 m'
_symmetry_Int_Tables_number 166
_symmetry_space_group_name_Hall '-R 3 2"'
_cell_length_a 4.2844
_cell_length_b 4.2844
_cell_length_c 26.1160
_cell_angle_alpha 90.00
_cell_angle_beta 90.00
_cell_angle_gamma 120.00
loop_
_atom_site_label
_atom_site_type_symbol
_atom_site_fract_x
_atom_site_fract_y
_atom_site_fract_z
Pm1 Pm 0.0000 0.0000 0.0000
Ga1 Ga 0.0000 0.0000 0.1283
Ga2 Ga 0.0000 0.0000 0.3997
Ru1 Ru 0.0000 0.0000 0.2317
Pt1 Pt 0.0000 0.0000 0.5000
# * total energy: -5.665 eV/atom
# * D(E_F): 0.469 states/eV/atom
# * M_tot: 0.0 μB/f.u.
# * energy of formation from the pure elements: -0.483 eV/atom

***

# 2
# Y2MnCo, relaxed, DFT GGA-PBE
data_Y2MnCo
_chemical_formula_sum 'Y2 Mn1 Co1'
_symmetry_space_group_name_H-M 'P 4 m m'
_symmetry_Int_Tables_number 99
_cell_length_a 3.3144
_cell_length_b 3.3144
_cell_length_c 7.8631
_cell_angle_alpha 90.00
_cell_angle_beta 90.00
_cell_angle_gamma 90.00
loop_
_symmetry_equiv_pos_as_xyz
'x,y,z'
'-y,x,z'
'-x,-y,z'
'y,-x,z'
'-x,y,z'
'y,x,z'
'x,-y,z'
'-y,-x,z'
loop_
_atom_site_label
_atom_site_type_symbol
_atom_site_fract_x
_atom_site_fract_y
_atom_site_fract_z
Y1 Y 0.0000 0.0000 0.0000
Y2 Y 0.5000 0.5000 0.3817
Mn1 Mn 0.5000 0.5000 0.7499
Co1 Co 0.0000 0.0000 0.6078
# * total energy: -7.192 eV/atom
# * D(E_F): 1.009 states/eV/atom
# * M_tot: 4.7 μB/f.u.
# * energy of formation from the pure elements: 0.109 eV/atom
# * offset from the most stable computed form: 169 meV/atom

***

# 3
# Li2PaIrO8, relaxed, DFT GGA-PBE
data_Li2PaIrO8
_chemical_formula_sum 'Li4 Pa2 Ir2 O16'
_symmetry_space_group_name_H-M 'C m m m'
_symmetry_Int_Tables_number 65
_symmetry_space_group_name_Hall '-C 2 2'
_cell_length_a 6.5649
_cell_length_b 6.7406
_cell_length_c 6.5824
_cell_angle_alpha 90.00
_cell_angle_beta 90.00
_cell_angle_gamma 90.00
loop_
_atom_site_label
_atom_site_type_symbol
_atom_site_fract_x
_atom_site_fract_y
_atom_site_fract_z
Li1 Li 0.0000 0.0000 0.2425
Pa1 Pa 0.0000 0.5000 0.5000
Ir1 Ir 0.0000 0.5000 0.0000
O1 O 0.0000 0.3096 0.2182
O2 O 0.2015 0.0000 0.5000
O3 O 0.2236 0.0000 0.0000
# * total energy: -6.776 eV/atom
# * D(E_F): 0.417 states/eV/atom
# * M_tot: 0.0 μB/f.u.
# * energy relative to the elements, uncorrected: -1877 kJ/mol of formula units

***

# 4
# Sc2Ga4Ag, relaxed, DFT GGA-PBE
data_Sc2Ga4Ag
_chemical_formula_sum 'Sc4 Ga8 Ag2'
_symmetry_space_group_name_H-M 'I 4/m m m'
_symmetry_Int_Tables_number 139
_symmetry_space_group_name_Hall '-I 4 2'
_cell_length_a 4.8518
_cell_length_b 4.8518
_cell_length_c 13.9386
_cell_angle_alpha 90.00
_cell_angle_beta 90.00
_cell_angle_gamma 90.00
loop_
_atom_site_label
_atom_site_type_symbol
_atom_site_fract_x
_atom_site_fract_y
_atom_site_fract_z
Sc1 Sc 0.0000 0.0000 0.1153
Ga1 Ga 0.0000 0.0000 0.3119
Ga2 Ga 0.0000 0.5000 0.0000
Ag1 Ag 0.0000 0.0000 0.5000
# * total energy: -3.821 eV/atom
# * D(E_F): 0.824 states/eV/atom
# * M_tot: 0.0 μB/f.u.
# * energy of formation from the pure elements: 0.125 eV/atom

***

# 5
# Tb5Zn, relaxed, DFT GGA-PBE
data_Tb5Zn
_chemical_formula_sum 'Tb10 Zn2'
_symmetry_space_group_name_H-M 'C m m m'
_symmetry_Int_Tables_number 65
_symmetry_space_group_name_Hall '-C 2 2'
_cell_length_a 4.7926
_cell_length_b 14.9035
_cell_length_c 4.8270
_cell_angle_alpha 90.00
_cell_angle_beta 90.00
_cell_angle_gamma 90.00
loop_
_atom_site_label
_atom_site_type_symbol
_atom_site_fract_x
_atom_site_fract_y
_atom_site_fract_z
Tb1 Tb 0.0000 0.0000 0.0000
Tb2 Tb 0.0000 0.1602 0.5000
Tb3 Tb 0.0000 0.3333 0.0000
Zn1 Zn 0.0000 0.5000 0.5000
# * total energy: -4.075 eV/atom
# * D(E_F): 1.147 states/eV/atom
# * M_tot: 0.0 μB/f.u.
# * energy of formation from the pure elements: -0.004 eV/atom
# * offset from the most stable computed form: 0 meV/atom

***

# 6
# TaSi2Te, relaxed, DFT GGA-PBE
data_TaSi2Te
_chemical_formula_sum 'Ta1 Si2 Te1'
_symmetry_space_group_name_H-M 'P m m m'
_symmetry_Int_Tables_number 47
_cell_length_a 3.2840
_cell_length_b 4.6470
_cell_length_c 4.7937
_cell_angle_alpha 90.00
_cell_angle_beta 90.00
_cell_angle_gamma 90.00
loop_
_symmetry_equiv_pos_as_xyz
'x,y,z'
'-x,-y,-z'
'-x,-y,z'
'x,y,-z'
'x,-y,-z'
'-x,y,z'
'-x,y,-z'
'x,-y,z'
loop_
_atom_site_label
_atom_site_type_symbol
_atom_site_fract_x
_atom_site_fract_y
_atom_site_fract_z
Ta1 Ta 0.0000 0.0000 0.0000
Si1 Si 0.0000 0.5000 0.5000
Si2 Si 0.5000 0.5000 0.0000
Te1 Te 0.5000 0.0000 0.5000
# * total energy: -5.893 eV/atom
# * D(E_F): 0.609 states/eV/atom
# * M_tot: 0.0 μB/f.u.
# * energy relative to the elements, uncorrected: 219 kJ/mol of formula units

***

# 7
# LaSc4Sb, relaxed, DFT GGA-PBE
data_LaSc4Sb
_chemical_formula_sum 'La4 Sc16 Sb4'
_symmetry_space_group_name_H-M 'F -4 3 m'
_symmetry_Int_Tables_number 216
_symmetry_space_group_name_Hall 'F -4 2 3'
_cell_length_a 8.6714
_cell_length_b 8.6714
_cell_length_c 8.6714
_cell_angle_alpha 90.00
_cell_angle_beta 90.00
_cell_angle_gamma 90.00
loop_
_atom_site_label
_atom_site_type_symbol
_atom_site_fract_x
_atom_site_fract_y
_atom_site_fract_z
La1 La 0.0000 0.0000 0.0000
Sc1 Sc 0.1260 0.1260 0.3740
Sb1 Sb 0.2500 0.2500 0.7500
# * total energy: -5.685 eV/atom
# * D(E_F): 1.375 states/eV/atom
# * M_tot: 2.5 μB/f.u.
# * energy relative to the elements, uncorrected: 25 kJ/mol of formula units

***

# 8
# Be2V2Se, relaxed, DFT GGA-PBE
data_Be2V2Se
_chemical_formula_sum 'Be4 V4 Se2'
_symmetry_space_group_name_H-M 'I 4/m m m'
_symmetry_Int_Tables_number 139
_symmetry_space_group_name_Hall '-I 4 2'
_cell_length_a 3.0210
_cell_length_b 3.0210
_cell_length_c 13.9272
_cell_angle_alpha 90.00
_cell_angle_beta 90.00
_cell_angle_gamma 90.00
loop_
_atom_site_label
_atom_site_type_symbol
_atom_site_fract_x
_atom_site_fract_y
_atom_site_fract_z
Be1 Be 0.0000 0.5000 0.2500
V1 V 0.0000 0.0000 0.1040
Se1 Se 0.0000 0.0000 0.5000
# * total energy: -5.630 eV/atom
# * D(E_F): 0.802 states/eV/atom
# * M_tot: 0.0 μB/f.u.
# * energy relative to the elements, uncorrected: 99 kJ/mol of formula units
# * offset from the most stable computed form: 120 meV/atom

***

# 9
# LaS2IN, relaxed, DFT GGA-PBE
data_LaS2IN
_chemical_formula_sum 'La1 S2 I1 N1'
_symmetry_space_group_name_H-M 'P 4/m m m'
_symmetry_Int_Tables_number 123
_symmetry_space_group_name_Hall '-P 4 2'
_cell_length_a 5.7245
_cell_length_b 5.7245
_cell_length_c 4.2970
_cell_angle_alpha 90.00
_cell_angle_beta 90.00
_cell_angle_gamma 90.00
loop_
_atom_site_label
_atom_site_type_symbol
_atom_site_fract_x
_atom_site_fract_y
_atom_site_fract_z
La1 La 0.0000 0.0000 0.0000
S1 S 0.0000 0.5000 0.0000
I1 I 0.5000 0.5000 0.5000
N1 N 0.0000 0.0000 0.5000
# * total energy: -4.208 eV/atom
# * D(E_F): 1.804 states/eV/atom
# * M_tot: 0.0 μB/f.u.
# * energy relative to the elements, uncorrected: 195 kJ/mol of formula units
# * offset from the most stable computed form: 248 meV/atom

***

# 10
# ScAl2S, relaxed, DFT GGA-PBE
data_ScAl2S
_chemical_formula_sum 'Sc4 Al8 S4'
_symmetry_space_group_name_H-M 'I -4 2 d'
_symmetry_Int_Tables_number 122
_symmetry_space_group_name_Hall 'I -4 2bw'
_cell_length_a 7.5849
_cell_length_b 7.5849
_cell_length_c 5.2124
_cell_angle_alpha 90.00
_cell_angle_beta 90.00
_cell_angle_gamma 90.00
loop_
_atom_site_label
_atom_site_type_symbol
_atom_site_fract_x
_atom_site_fract_y
_atom_site_fract_z
Sc1 Sc 0.0000 0.0000 0.0000
Al1 Al 0.2041 0.2500 0.6250
S1 S 0.0000 0.0000 0.5000
# * total energy: -4.808 eV/atom
# * D(E_F): 0.682 states/eV/atom
# * M_tot: 0.0 μB/f.u.
# * energy relative to the elements, uncorrected: -124 kJ/mol of formula units

***

# 11
# Cs2Y3Cl10, relaxed, DFT GGA-PBE
data_Cs2Y3Cl10
_chemical_formula_sum 'Cs8 Y12 Cl40'
_symmetry_space_group_name_H-M 'C 1 2/m 1'
_symmetry_Int_Tables_number 12
_cell_length_a 24.8219
_cell_length_b 7.7076
_cell_length_c 11.0152
_cell_angle_alpha 90.00
_cell_angle_beta 111.67
_cell_angle_gamma 90.00
loop_
_symmetry_equiv_pos_as_xyz
'x,y,z'
'-x,-y,-z'
'-x,y,-z'
'x,-y,z'
'x+1/2,y+1/2,z'
'-x+1/2,-y+1/2,-z'
'-x+1/2,y+1/2,-z'
'x+1/2,-y+1/2,z'
loop_
_atom_site_label
_atom_site_type_symbol
_atom_site_fract_x
_atom_site_fract_y
_atom_site_fract_z
Cs1 Cs 0.1207 0.0000 0.2316
Cs2 Cs 0.2172 0.0000 0.8189
Y1 Y 0.0000 0.2738 0.5000
Y2 Y 0.0806 0.5000 0.9803
Y3 Y 0.1738 0.5000 0.5180
Cl1 Cl 0.0000 0.2720 0.0000
Cl2 Cl 0.0209 0.0000 0.6727
Cl3 Cl 0.0298 0.5000 0.7155
Cl4 Cl 0.1118 0.2231 0.5213
Cl5 Cl 0.1266 0.5000 0.2503
Cl6 Cl 0.1502 0.2527 0.9909
Cl7 Cl 0.2255 0.5000 0.7640
Cl8 Cl 0.2500 0.2500 0.5000
# * total energy: -4.795 eV/atom
# * D(E_F): 0.038 states/eV/atom
# * M_tot: 1.0 μB/f.u.
# * energy relative to the elements, uncorrected: -3122 kJ/mol of formula units

***

# 12
# Ca5Sn3, relaxed, DFT GGA-PBE
data_Ca5Sn3
_chemical_formula_sum 'Ca20 Sn12'
_symmetry_space_group_name_H-M 'I 4/m c m'
_symmetry_Int_Tables_number 140
_symmetry_space_group_name_Hall '-I 4 2c'
_cell_length_a 12.5189
_cell_length_b 12.5189
_cell_length_c 6.3538
_cell_angle_alpha 90.00
_cell_angle_beta 90.00
_cell_angle_gamma 90.00
loop_
_atom_site_label
_atom_site_type_symbol
_atom_site_fract_x
_atom_site_fract_y
_atom_site_fract_z
Ca1 Ca 0.0000 0.5000 0.2500
Ca2 Ca 0.0824 0.2119 0.0000
Sn1 Sn 0.0000 0.0000 0.2500
Sn2 Sn 0.1575 0.3425 0.5000
# * total energy: -3.374 eV/atom
# * D(E_F): 1.332 states/eV/atom
# * M_tot: 0.0 μB/f.u.
# * energy of formation from the pure elements: -0.622 eV/atom
# * offset from the most stable computed form: 28 meV/atom

***

> total energy of number 10 (ScAl2S)?

-4.808 eV/atom

***

> The highest M_tot belongs to which entry?

Y2MnCo

***

> What is the formula in the first record?

PmGa4Ru2Pt

***

> Among the records above, which one has the highest M_tot?

Y2MnCo